Below is crystalline FeCuAg2F6 at its relaxed geometry, with properties calculated at the GGA+U level. Values from VASP.

Cell and atoms, written as Quantum ESPRESSO input:
```
&SYSTEM
  ibrav = 0, nat = 10, ntyp = 4
/
ATOMIC_SPECIES
Fe 55.84 Fe.upf
Cu 63.55 Cu.upf
Ag 107.87 Ag.upf
F 19.00 F.upf
ATOMIC_POSITIONS crystal
Fe 0.000 0.000 0.000
Cu 0.500 0.500 0.000
Ag 0.254 0.755 0.515
Ag 0.746 0.245 0.485
F 0.180 0.171 0.449
F 0.246 0.361 0.097
F 0.320 0.808 0.005
F 0.680 0.192 0.995
F 0.754 0.639 0.903
F 0.820 0.829 0.551
CELL_PARAMETERS angstrom
5.546 0.000 0.000
-0.052 5.554 0.000
-2.737 -2.768 4.366
```

Space group: P-1, No. 2
Final energy: -42.440 eV per formula unit
Calculated volume: 13.44 A^3/atom